! AlI PBE optimized geometry; values from VASP
! uncorrected formation energy: -0.019 eV per atom
! symmetry: P6_3/mmc, No. 194
! E_tot: -2.6651 eV per atom
! crystal system: hexagonal
&SYSTEM
  ibrav = 0, nat = 12, ntyp = 2
/
ATOMIC_SPECIES
I 126.90 I.upf
Al 26.98 Al.upf
CELL_PARAMETERS angstrom
8.666 0.000 0.000
-4.333 7.505 0.000
0.000 0.000 6.144
ATOMIC_POSITIONS crystal
I 0.829 0.171 0.250
I 0.342 0.171 0.250
I 0.171 0.829 0.750
I 0.171 0.342 0.750
Al 0.777 0.223 0.750
Al 0.777 0.554 0.750
Al 0.223 0.777 0.250
I 0.829 0.658 0.250
I 0.658 0.829 0.750
Al 0.446 0.223 0.750
Al 0.554 0.777 0.250
Al 0.223 0.446 0.250